(1)
Ca3Ge3Pd2: relaxed, PBE-GGA.

Values from the calculation:
D(E_F)   21.1 states/eV/cell
ΔE to the lowest computed polymorph   0.000 eV per atom
Calculated formation energy   -739.3 meV per atom

Cell: 4.4259 10.6880 14.5783 Å, 90.00 90.00 90.00°
With the nearest neighbours (Å) after each atom.
Space group Cmcm (No. 63)
Unique sites:
Ca 0.0000 0.0861 0.1123  7 Ge 3.11-3.36, 4 Pd 3.12-3.28
Ca 0.0000 0.3675 0.2500  5 Ge 3.08-3.20, 4 Pd 3.26
Ge 0.0000 0.3329 0.7500  2 Pd 2.64
Ge 0.0000 0.3830 0.0359  3 Pd 2.56-2.69, 1 Ge 2.71
Pd 0.0000 0.2053 0.5952  4 Ge 2.56-2.69


(2)
Ca3Ge4Pd7: relaxed, PBE-GGA.

Values from the calculation:
D(E_F)   14.6 states/eV/cell
Calculated formation energy   -725.4 meV per atom

Cell: 15.8415 4.1415 9.5890 Å, 90.00 125.26 90.00°
With the nearest neighbours (Å) after each atom.
Space group C2/m (No. 12)
Unique sites:
Ca 0.0000 0.0000 0.0000  6 Ge 3.01-3.17, 6 Pd 3.32-3.33
Ca 0.1703 0.5000 0.6652  10 Pd 3.02-3.37, 4 Ge 3.06-3.11
Ge 0.1112 0.0000 0.8305  6 Pd 2.56-2.64
Ge 0.1648 0.5000 0.2713  5 Pd 2.52-2.58
Pd 0.0000 0.0000 0.5000  2 Ge 2.59
Pd 0.0072 0.5000 0.2778  3 Ge 2.53-2.58
Pd 0.1674 0.0000 0.4229  3 Ge 2.52-2.58
Pd 0.1947 0.5000 0.0378  4 Ge 2.54-2.64


(3)
CaGePd2: relaxed, PBE-GGA.

Values from the calculation:
D(E_F)   17.2 states/eV/cell
Calculated formation energy   -346.7 meV per atom

Cell: 4.9218 4.9218 16.3888 Å, 90.00 90.00 90.00°
With the nearest neighbours (Å) after each atom.
Space group I-42d (No. 122)
Unique sites:
Ca 0.0000 0.0000 0.0000  4 Pd 3.14, 4 Ge 3.48
Ge 0.0000 0.0000 0.5000  4 Pd 2.43
Pd 0.0846 0.2500 0.6250  2 Ge 2.43, 2 Pd 2.60


(4)
Ca3Ge3Pd2: relaxed, PBE-GGA.

Values from the calculation:
D(E_F)   21.6 states/eV/cell
ΔE to the lowest computed polymorph   0.049 eV per atom
Calculated formation energy   -690.1 meV per atom

Cell: 8.3863 14.6828 5.7387 Å, 90.00 90.00 90.00°
With the nearest neighbours (Å) after each atom.
Space group Pnma (No. 62)
Unique sites:
Ca 0.0478 0.1133 0.1204  3 Pd 3.05-3.38, 6 Ge 3.09-3.39
Ca 0.1960 0.2500 0.6120  5 Ge 3.05-3.21, 4 Pd 3.26-3.31
Ge 0.1548 0.7500 0.5962  2 Pd 2.63
Ge 0.1972 0.0402 0.6230  3 Pd 2.50-2.60
Pd 0.0842 0.5963 0.3862  4 Ge 2.50-2.63


(5)
Ca3Ge5Pd6: relaxed, PBE-GGA.

Values from the calculation:
D(E_F)   16.2 states/eV/cell
Calculated formation energy   -697.3 meV per atom

Cell: 4.2089 13.0192 9.7180 Å, 90.00 90.00 90.00°
With the nearest neighbours (Å) after each atom.
Space group Pmmn (No. 59, origin choice 2)
Unique sites:
Ca 0.2500 0.0837 0.2470  6 Ge 3.12-3.19, 8 Pd 3.14-3.41
Ca 0.2500 0.7500 0.2530  6 Ge 3.05-3.21, 6 Pd 3.19-3.26
Ge 0.2500 0.0819 0.8532  5 Pd 2.52-2.60
Ge 0.2500 0.6345 0.5260  5 Pd 2.51-2.64
Ge 0.2500 0.7500 0.8587  4 Pd 2.55-2.59
Pd 0.2500 0.0513 0.5954  4 Ge 2.51-2.64, 1 Pd 2.78
Pd 0.2500 0.2500 0.4910  4 Ge 2.59, 2 Pd 2.78
Pd 0.2500 0.2500 0.9932  4 Ge 2.55-2.58
Pd 0.2500 0.5831 0.0039  4 Ge 2.52-2.60


(6)
CaGePd2: relaxed, PBE-GGA.

Values from the calculation:
D(E_F)   5.0 states/eV/cell
Calculated formation energy   -629.6 meV per atom

Cell: 4.0124 4.0124 9.7611 Å, 90.00 90.00 90.00°
With the nearest neighbours (Å) after each atom.
Space group P4/nmm (No. 129, origin choice 2)
Unique sites:
Ca 0.2500 0.2500 0.2114  5 Pd 2.91-3.09, 4 Ge 3.10
Ge 0.2500 0.2500 0.6599  5 Pd 2.47-2.54
Pd 0.2500 0.2500 0.9134  1 Ge 2.47
Pd 0.2500 0.7500 0.5000  4 Ge 2.54, 4 Pd 2.84


(7)
CaGe2Pd9: relaxed, PBE-GGA.

Values from the calculation:
D(E_F)   24.2 states/eV/cell
Calculated formation energy   -448.5 meV per atom

Cell: 10.9466 10.9466 6.7756 Å, 90.00 90.00 90.00°
With the nearest neighbours (Å) after each atom.
Space group I4_1/amd (No. 141, origin choice 2)
Unique sites:
Ca 0.0000 0.2500 0.3750  18 Pd 3.27-3.61
Ge 0.0000 0.0000 0.0000  10 Pd 2.60-2.86
Pd 0.0000 0.2500 0.8750  8 Pd 2.85, 4 Ge 2.86
Pd 0.1231 0.0542 0.6815  2 Ge 2.60-2.61, 6 Pd 2.69-2.85


(8)
Ca2GePd: relaxed, PBE-GGA.

Values from the calculation:
D(E_F)   0.8 states/eV/cell
Calculated formation energy   -592.9 meV per atom

Cell: 3.5559 3.5559 7.2787 Å, 90.00 90.00 90.00°
With the nearest neighbours (Å) after each atom.
Space group P4/mmm (No. 123)
Unique sites:
Ca 0.0000 0.0000 0.2404  4 Pd 3.06, 4 Ge 3.15
Ge 0.5000 0.5000 0.5000  8 Ca 3.15
Pd 0.5000 0.5000 0.0000  8 Ca 3.06